HgMo3Se | GGA-PBE | optimized geometry

Energy ... -6.19 eV/atom
Energy above the lowest structure with this stoichiometry ... 0 meV/atom
Mass density ... 9.5 Mg/m³
Total magnetic moment ... 0.0 Bohr magnetons per cell

Cell: 4.6269 4.6269 4.6269 Å, 90.00 90.00 90.00°
Last column: nearest neighbours and their distance in Å.
Fractional coordinates of all 5 atoms:
Mo 0.0000 0.5000 0.0000  2 Se 2.31
Mo 0.5000 0.0000 0.0000  2 Se 2.31
Mo 0.0000 0.0000 0.5000  2 Se 2.31
Hg 0.5000 0.5000 0.5000  12 Mo 3.27
Se 0.0000 0.0000 0.0000  6 Mo 2.31

KLiSi2 | GGA-PBE | optimized geometry

Energy ... -3.44 eV/atom
Energy above the lowest structure with this stoichiometry ... 14 meV/atom
Mass density ... 1.6 Mg/m³
Total magnetic moment ... 0.0 Bohr magnetons per cell

Cell: 6.7957 6.7957 6.7957 Å, 147.67 141.49 51.14°
Last column: nearest neighbours and their distance in Å.
Fractional coordinates of all 4 atoms:
K 0.5413 0.5413 0.0000  6 Si 3.43-3.54, 4 Li 3.66-3.75, 2 K 3.78
Si 0.8962 0.8962 0.0000  2 Si 2.33
Si 0.7856 0.2856 0.5000  2 Si 2.33
Li 0.2769 0.7769 0.5000  6 Si 2.68-2.93

La2TcSb | GGA-PBE | optimized geometry

Energy ... -6.23 eV/atom
Mass density ... 7.6 Mg/m³
Total magnetic moment ... 0.0 Bohr magnetons per cell

Cell: 3.4760 3.4760 9.0473 Å, 90.00 90.00 90.00°
Last column: nearest neighbours and their distance in Å.
Fractional coordinates of all 4 atoms:
Sb 0.0000 0.0000 0.5614  4 Tc 2.78
La 0.0000 0.0000 0.9280  4 Tc 3.18, 1 Sb 3.32, 4 La 3.48
La 0.5000 0.5000 0.3062  4 Sb 3.37, 4 La 3.48, 1 Tc 3.60
Tc 0.5000 0.5000 0.7043  4 Sb 2.78

TePH2 | GGA-PBE | optimized geometry

Energy ... -3.41 eV/atom
Energy above the lowest structure with this stoichiometry ... 0 meV/atom
Mass density ... 4.8 Mg/m³
Total magnetic moment ... 0.0 Bohr magnetons per cell

Cell: 5.3829 5.3829 5.4037 Å, 60.13 60.13 90.00°
Last column: nearest neighbours and their distance in Å.
Fractional coordinates of all 8 atoms:
H 0.3750 0.6253 0.7500  2 P 1.65
H 0.3747 0.1250 0.2500  2 P 1.65
H 0.8750 0.6247 0.7500  2 P 1.65
H 0.3753 0.6250 0.2500  2 P 1.65
P 0.5000 0.5000 0.0000  4 H 1.65
P 0.2500 0.7500 0.5000  4 H 1.65
Te 0.7500 0.2500 0.5000  12 H 3.16-3.18, 4 Te 3.30, 4 P 3.30
Te 0.0000 0.0000 0.0000  12 H 3.16-3.18, 4 Te 3.30, 4 P 3.30

Er3Ga3Hg2 | GGA-PBE | optimized geometry

Energy ... -3.43 eV/atom
Mass density ... 10.3 Mg/m³
ΔE_f ... -11.7 kcal/mol of atoms
Total magnetic moment ... 0.7 Bohr magnetons per cell

Cell: 4.4520 5.9470 14.5390 Å, 90.00 90.00 111.98°
Last column: nearest neighbours and their distance in Å.
Fractional coordinates of all 16 atoms:
Hg 0.7826 0.5651 0.9019  4 Ga 2.70-2.92
Hg 0.7826 0.5651 0.5981  4 Ga 2.70-2.92
Hg 0.2174 0.4349 0.0981  4 Ga 2.70-2.92
Hg 0.2174 0.4349 0.4019  4 Ga 2.70-2.92
Er 0.6513 0.3027 0.2500  5 Ga 3.03-3.32, 4 Hg 3.22
Er 0.9254 0.8508 0.1158  6 Ga 3.01-3.24, 3 Hg 3.21-3.23
Er 0.3487 0.6973 0.7500  5 Ga 3.03-3.32, 4 Hg 3.22
Er 0.0746 0.1492 0.8842  6 Ga 3.01-3.24, 3 Hg 3.21-3.23
Er 0.9254 0.8508 0.3842  6 Ga 3.01-3.24, 3 Hg 3.21-3.23
Er 0.0746 0.1492 0.6158  6 Ga 3.01-3.24, 3 Hg 3.21-3.23
Ga 0.3742 0.7483 0.2500  2 Hg 2.80, 5 Er 3.01-3.06
Ga 0.6258 0.2517 0.7500  2 Hg 2.80, 5 Er 3.01-3.06
Ga 0.5975 0.1949 0.4544  1 Ga 2.53, 2 Hg 2.70
Ga 0.4025 0.8051 0.5456  1 Ga 2.53, 2 Hg 2.70
Ga 0.4025 0.8051 0.9544  1 Ga 2.53, 2 Hg 2.70
Ga 0.5975 0.1949 0.0456  1 Ga 2.53, 2 Hg 2.70

Tb2TmAu | GGA-PBE | optimized geometry

Energy ... -4.50 eV/atom
Energy above the lowest structure with this stoichiometry ... 196 meV/atom
Mass density ... 10.9 Mg/m³
ΔE_f ... -5.8 kcal/mol of atoms
Total magnetic moment ... 0.0 Bohr magnetons per cell

Cell: 4.6974 4.7150 4.7150 Å, 90.00 90.00 90.00°
Last column: nearest neighbours and their distance in Å.
Fractional coordinates of all 4 atoms:
Tb 0.0000 0.5000 0.0000  4 Au 3.33, 4 Tm 3.33, 4 Tb 3.33
Tb 0.0000 0.0000 0.5000  4 Tm 3.33, 4 Au 3.33, 4 Tb 3.33
Au 0.5000 0.0000 0.0000  8 Tb 3.33, 4 Tm 3.33
Tm 0.5000 0.5000 0.5000  8 Tb 3.33, 4 Au 3.33